Record 1
Computed, not measured: a geometry-optimized CsRb2MgCl6 structure at the PBE-GGA level of DFT.

- energy relative to the elements, uncorrected (meV per atom) = -1588

a = 8.124 Å, b = 8.124 Å, c = 8.124 Å
α = 60.00°, β = 60.00°, γ = 60.00°
Element x y z (fractional)
Cs: 0.000 0.000 0.000
Rb: 0.250 0.250 0.250
Rb: 0.750 0.750 0.750
Mg: 0.500 0.500 0.500
Cl: 0.284 0.284 0.716
Cl: 0.284 0.716 0.284
Cl: 0.284 0.716 0.716
Cl: 0.716 0.284 0.284
Cl: 0.716 0.284 0.716
Cl: 0.716 0.716 0.284

---

Record 2
Computed, not measured: a geometry-optimized Ti2SbRh2 structure at the PBE-GGA level of DFT.

- energy relative to the elements, uncorrected (meV per atom) = -443

a = 6.073 Å, b = 6.073 Å, c = 6.073 Å
α = 139.69°, β = 139.69°, γ = 58.33°
Element x y z (fractional)
Ti: 0.250 0.750 0.500
Ti: 0.750 0.250 0.500
Sb: 0.000 0.000 0.000
Rh: 0.379 0.379 0.000
Rh: 0.621 0.621 0.000

---

Record 3
Computed, not measured: a geometry-optimized KZn2Te structure at the PBE-GGA level of DFT.

- energy relative to the elements, uncorrected (meV per atom) = -205

a = 4.219 Å, b = 4.231 Å, c = 7.026 Å
α = 90.00°, β = 106.98°, γ = 90.00°
Element x y z (fractional)
K: 0.000 0.000 0.000
Zn: 0.286 0.500 0.661
Zn: 0.458 0.000 0.518
Te: 0.665 0.500 0.325

---

Record 4
Computed, not measured: a geometry-optimized CaGa structure at the PBE-GGA level of DFT.

- calculated formation energy (eV/atom) = 0.198

a = 5.335 Å, b = 5.335 Å, c = 6.072 Å
α = 90.00°, β = 90.00°, γ = 120.00°
Element x y z (fractional)
Ca: 0.333 0.667 0.250
Ca: 0.667 0.333 0.750
Ga: 0.333 0.667 0.750
Ga: 0.667 0.333 0.250

---

Record 5
Computed, not measured: a geometry-optimized Sm2CdPd5Au structure at the PBE-GGA level of DFT.

- calculated formation energy (eV/atom) = -0.249

a = 8.090 Å, b = 8.090 Å, c = 8.090 Å
α = 116.67°, β = 116.67°, γ = 95.87°
Element x y z (fractional)
Sm: 0.129 0.629 0.758
Sm: 0.371 0.129 0.500
Sm: 0.629 0.871 0.500
Sm: 0.871 0.371 0.242
Cd: 0.250 0.250 0.000
Cd: 0.750 0.750 0.000
Pd: 0.000 0.000 0.000
Pd: 0.057 0.170 0.500
Pd: 0.170 0.670 0.113
Pd: 0.330 0.443 0.500
Pd: 0.443 0.943 0.113
Pd: 0.500 0.500 0.000
Pd: 0.557 0.057 0.887
Pd: 0.670 0.557 0.500
Pd: 0.830 0.330 0.887
Pd: 0.943 0.830 0.500
Au: 0.250 0.750 0.500
Au: 0.750 0.250 0.500

---

Record 6
Computed, not measured: a geometry-optimized CaLa2Au structure at the PBE-GGA level of DFT.

- calculated formation energy (eV/atom) = -0.372

a = 3.727 Å, b = 3.727 Å, c = 9.253 Å
α = 90.00°, β = 90.00°, γ = 90.00°
Element x y z (fractional)
Ca: 0.000 0.000 0.000
La: 0.000 0.000 0.610
La: 0.500 0.500 0.322
Au: 0.500 0.500 0.810

---

Record 7
Computed, not measured: a geometry-optimized Tm6Tl3Hg structure at the PBE-GGA level of DFT.

- calculated formation energy (eV/atom) = -0.259

a = 9.695 Å, b = 5.150 Å, c = 11.326 Å
α = 90.00°, β = 106.40°, γ = 90.00°
Element x y z (fractional)
Tm: 0.048 0.250 0.405
Tm: 0.149 0.750 0.190
Tm: 0.260 0.250 0.003
Tm: 0.358 0.750 0.825
Tm: 0.373 0.250 0.328
Tm: 0.394 0.250 0.626
Tm: 0.606 0.750 0.374
Tm: 0.627 0.750 0.672
Tm: 0.642 0.250 0.175
Tm: 0.740 0.750 0.997
Tm: 0.851 0.250 0.810
Tm: 0.952 0.750 0.595
Tl: 0.036 0.750 0.895
Tl: 0.128 0.250 0.713
Tl: 0.289 0.750 0.478
Tl: 0.711 0.250 0.522
Tl: 0.872 0.750 0.287
Tl: 0.964 0.250 0.105
Hg: 0.423 0.750 0.116
Hg: 0.577 0.250 0.884

---

Record 8
Computed, not measured: a geometry-optimized LaPr2YP4 structure at the PBE-GGA level of DFT.

- calculated formation energy (eV/atom) = -1.545

a = 7.231 Å, b = 4.180 Å, c = 7.231 Å
α = 90.00°, β = 109.42°, γ = 90.00°
Element x y z (fractional)
La: 0.000 0.000 0.000
Pr: 0.500 0.000 0.500
Pr: 0.500 0.500 0.000
Y: 0.000 0.500 0.500
P: 0.243 0.000 0.742
P: 0.248 0.500 0.255
P: 0.752 0.500 0.745
P: 0.757 0.000 0.258

---

Record 9
Computed, not measured: a geometry-optimized Ba2BiIrC structure at the PBE-GGA level of DFT.

- calculated formation energy (eV/atom) = -0.252

a = 6.167 Å, b = 6.167 Å, c = 3.873 Å
α = 90.00°, β = 90.00°, γ = 90.00°
Element x y z (fractional)
Ba: 0.000 0.500 0.000
Ba: 0.500 0.000 0.000
Bi: 0.000 0.000 0.500
Ir: 0.500 0.500 0.500
C: 0.500 0.500 0.000

---

Record 10
Computed, not measured: a geometry-optimized PmYP2 structure at the PBE-GGA level of DFT.

- calculated formation energy (eV/atom) = -1.593

a = 7.050 Å, b = 7.050 Å, c = 7.050 Å
α = 33.60°, β = 33.60°, γ = 33.60°
Element x y z (fractional)
Pm: 0.000 0.000 0.000
Y: 0.500 0.500 0.500
P: 0.248 0.248 0.248
P: 0.752 0.752 0.752

---

Record 11
Computed, not measured: a geometry-optimized LiRe2Ru structure at the PBE-GGA level of DFT.

- calculated formation energy (eV/atom) = 0.497

a = 4.528 Å, b = 4.528 Å, c = 2.734 Å
α = 90.00°, β = 90.00°, γ = 90.00°
Element x y z (fractional)
Li: 0.000 0.000 0.000
Re: 0.000 0.500 0.500
Re: 0.500 0.000 0.500
Ru: 0.500 0.500 0.000

---

Record 12
Computed, not measured: a geometry-optimized Nb3FeBi structure at the PBE-GGA level of DFT.

- calculated formation energy (eV/atom) = 0.531

a = 4.671 Å, b = 4.671 Å, c = 4.671 Å
α = 90.00°, β = 90.00°, γ = 90.00°
Element x y z (fractional)
Nb: 0.000 0.000 0.500
Nb: 0.000 0.500 0.000
Nb: 0.500 0.000 0.000
Fe: 0.000 0.000 0.000
Bi: 0.500 0.500 0.500

---

Record 13
Computed, not measured: a geometry-optimized Ga2Co3Mo structure at the PBE-GGA level of DFT.

- calculated formation energy (eV/atom) = -0.192

a = 2.760 Å, b = 2.760 Å, c = 9.673 Å
α = 90.00°, β = 90.00°, γ = 90.00°
Element x y z (fractional)
Ga: 0.000 0.000 0.159
Ga: 0.000 0.000 0.841
Co: 0.500 0.500 0.000
Co: 0.500 0.500 0.319
Co: 0.500 0.500 0.681
Mo: 0.000 0.000 0.500

---

Record 14
Computed, not measured: a geometry-optimized ZrOs2Rh structure at the PBE-GGA level of DFT.

- calculated formation energy (eV/atom) = 0.132

a = 9.495 Å, b = 9.495 Å, c = 9.495 Å
α = 16.98°, β = 16.98°, γ = 16.98°
Element x y z (fractional)
Zr: 0.000 0.000 0.000
Os: 0.241 0.241 0.241
Os: 0.500 0.500 0.500
Rh: 0.754 0.754 0.754

---

Record 15
Computed, not measured: a geometry-optimized PmMnNi4 structure at the PBE-GGA level of DFT.

- calculated formation energy (eV/atom) = -0.065

a = 7.115 Å, b = 3.780 Å, c = 6.565 Å
α = 90.00°, β = 90.00°, γ = 90.00°
Element x y z (fractional)
Pm: 0.250 0.000 0.143
Pm: 0.750 0.000 0.857
Mn: 0.250 0.000 0.720
Mn: 0.750 0.000 0.280
Ni: 0.000 0.000 0.500
Ni: 0.051 0.500 0.785
Ni: 0.250 0.500 0.471
Ni: 0.449 0.500 0.785
Ni: 0.500 0.000 0.500
Ni: 0.551 0.500 0.215
Ni: 0.750 0.500 0.529
Ni: 0.949 0.500 0.215

---

Record 16
Computed, not measured: a geometry-optimized Zr3CdCo structure at the PBE-GGA level of DFT.

- calculated formation energy (eV/atom) = 0.118

a = 4.845 Å, b = 4.845 Å, c = 4.845 Å
α = 90.00°, β = 90.00°, γ = 90.00°
Element x y z (fractional)
Zr: 0.000 0.000 0.500
Zr: 0.000 0.500 0.000
Zr: 0.500 0.000 0.000
Cd: 0.500 0.500 0.500
Co: 0.000 0.000 0.000

---

Record 17
Computed, not measured: a geometry-optimized ZnSbTe2H structure at the PBE-GGA level of DFT.

- raw total energy (eV per atom) = -2.562

a = 5.340 Å, b = 5.340 Å, c = 3.902 Å
α = 90.00°, β = 90.00°, γ = 90.00°
Element x y z (fractional)
Zn: 0.000 0.000 0.000
Sb: 0.500 0.500 0.000
Te: 0.000 0.500 0.500
Te: 0.500 0.000 0.500
H: 0.500 0.500 0.500

---

Record 18
Computed, not measured: a geometry-optimized AcAsH2Rh2 structure at the PBE-GGA level of DFT.

- raw total energy (eV per atom) = -5.569

a = 5.746 Å, b = 5.622 Å, c = 6.432 Å
α = 90.00°, β = 102.24°, γ = 90.00°
Element x y z (fractional)
Ac: 0.196 0.250 0.310
Ac: 0.804 0.750 0.690
As: 0.314 0.750 0.092
As: 0.686 0.250 0.908
H: 0.144 0.250 0.703
H: 0.269 0.750 0.610
H: 0.731 0.250 0.390
H: 0.856 0.750 0.297
Rh: 0.331 0.001 0.787
Rh: 0.331 0.499 0.787
Rh: 0.669 0.501 0.213
Rh: 0.669 0.999 0.213

---

Record 19
Computed, not measured: a geometry-optimized LiSnIrO6 structure at the PBE-GGA level of DFT.

- energy relative to the elements, uncorrected (meV per atom) = -1013

a = 5.317 Å, b = 5.317 Å, c = 8.990 Å
α = 90.00°, β = 90.00°, γ = 120.00°
Element x y z (fractional)
Li: 0.000 0.000 0.000
Li: 0.000 0.000 0.500
Sn: 0.333 0.667 0.250
Sn: 0.667 0.333 0.750
Ir: 0.333 0.667 0.750
Ir: 0.667 0.333 0.250
O: 0.025 0.371 0.631
O: 0.025 0.653 0.869
O: 0.347 0.371 0.869
O: 0.347 0.975 0.631
O: 0.371 0.025 0.131
O: 0.371 0.347 0.369
O: 0.629 0.653 0.631
O: 0.629 0.975 0.869
O: 0.653 0.025 0.369
O: 0.653 0.629 0.131
O: 0.975 0.347 0.131
O: 0.975 0.629 0.369

---

Record 20
Computed, not measured: a geometry-optimized Tb2PrAg2 structure at the PBE-GGA level of DFT.

- calculated formation energy (eV/atom) = -0.119

a = 5.265 Å, b = 4.948 Å, c = 11.158 Å
α = 90.00°, β = 95.00°, γ = 90.00°
Element x y z (fractional)
Tb: 0.159 0.250 0.113
Tb: 0.250 0.750 0.506
Tb: 0.750 0.250 0.494
Tb: 0.841 0.750 0.887
Pr: 0.300 0.250 0.754
Pr: 0.700 0.750 0.246
Ag: 0.226 0.250 0.367
Ag: 0.356 0.750 0.995
Ag: 0.644 0.250 0.005
Ag: 0.774 0.750 0.633